Material: SbPtI2Br
Method: DFT, PBE
State: optimized geometry

Computed properties:
ΔE_f (raw) ... 1.2977 eV/atom
Relative energy among the computed polymorphs ... 1090.2 meV/atom
Total moment ... 1.23 μB/f.u.

```
data_SbPtI2Br
_symmetry_space_group_name_H-M 'P 4/m m m'
_symmetry_Int_Tables_number 123
_symmetry_space_group_name_Hall '-P 4 2'
_cell_length_a 5.676
_cell_length_b 5.676
_cell_length_c 5.748
_cell_angle_alpha 90.00
_cell_angle_beta 90.00
_cell_angle_gamma 90.00
loop_
_atom_site_label
_atom_site_fract_x
_atom_site_fract_y
_atom_site_fract_z
Sb1 0.000 0.000 0.000
Pt1 0.500 0.500 0.000
I1 0.000 0.500 0.500
Br1 0.000 0.000 0.500
```

---

Material: In2SiOs
Method: DFT, PBE
State: optimized geometry

Computed properties:
ΔE_f (raw) ... 0.0755 eV/atom
Total moment ... 0.00 μB/f.u.

```
data_In2SiOs
_symmetry_space_group_name_H-M 'C 1 m 1'
_symmetry_Int_Tables_number 8
_symmetry_space_group_name_Hall 'C -2y'
_cell_length_a 8.416
_cell_length_b 3.077
_cell_length_c 7.062
_cell_angle_alpha 90.00
_cell_angle_beta 108.66
_cell_angle_gamma 90.00
loop_
_atom_site_label
_atom_site_fract_x
_atom_site_fract_y
_atom_site_fract_z
In1 0.000 0.000 0.000
In2 0.165 0.000 0.688
Si1 0.336 0.000 0.346
Os1 0.121 0.500 0.346
```